This record from Alexandria describes a geometry-optimized CsBi3Te3 structure. The functional is PBE.

Lattice parameters (Å, degrees): 11.604 11.604 11.604 42.02 42.02 42.02
Positions (direct):
Cs  0.162  0.162  0.162
Cs  0.838  0.838  0.838
Bi  0.032  0.304  0.801
Bi  0.199  0.968  0.696
Bi  0.304  0.801  0.032
Bi  0.696  0.199  0.968
Bi  0.801  0.032  0.304
Bi  0.968  0.696  0.199
Te  0.093  0.674  0.474
Te  0.326  0.526  0.907
Te  0.474  0.093  0.674
Te  0.526  0.907  0.326
Te  0.674  0.474  0.093
Te  0.907  0.326  0.526

Output
**Uncorrected formation energy**: -180 meV per atom
**Calculated density**: 5.99 g/cm3
**Total magnetic moment**: 0.0 μB per cell

This record from Alexandria describes a geometry-optimized ZnGePd3 structure. The functional is PBE.

Lattice parameters (Å, degrees): 4.613 4.613 4.613 90.00 90.00 90.00
Positions (direct):
Zn  0.000  0.000  0.000
Ge  0.500  0.500  0.500
Pd  0.000  0.500  0.500
Pd  0.500  0.000  0.500
Pd  0.500  0.500  0.000

Output
**ΔE to the lowest computed polymorph**: 273 kJ/mol of formula units
**Calculated density**: 7.74 g/cm3
**Total magnetic moment**: 0.0 μB per cell
**Energy relative to the elements**: 0.18 eV per atom

This record from Alexandria describes a geometry-optimized TeAsPbI2 structure. The functional is PBE.

Lattice parameters (Å, degrees): 5.634 5.634 5.906 90.00 90.00 90.00
Positions (direct):
Te  0.000  0.000  0.000
As  0.000  0.000  0.500
Pb  0.500  0.500  0.000
I  0.000  0.500  0.500
I  0.500  0.000  0.500

Output
**ΔE to the lowest computed polymorph**: 0 kJ/mol of formula units
**Uncorrected formation energy**: 98 meV per atom
**Calculated density**: 5.88 g/cm3
**Total magnetic moment**: 0.0 μB per cell

This record from Alexandria describes a geometry-optimized MnBeP4 structure. The functional is PBE.

Lattice parameters (Å, degrees): 4.938 4.938 4.938 60.00 60.00 60.00
Positions (direct):
Mn  0.000  0.000  0.000
Be  0.750  0.750  0.750
P  0.376  0.376  0.376
P  0.376  0.376  0.873
P  0.376  0.873  0.376
P  0.873  0.376  0.376

Output
**Calculated density**: 3.66 g/cm3
**Total magnetic moment**: 3.9 μB per cell
**Energy relative to the elements**: 0.74 eV per atom